(1)
The following is a PBE calculation of a relaxed structure of Tb8OsRu2, from Alexandria.

```
data_Tb8OsRu2
_cell_length_a 8.294
_cell_length_b 12.672
_cell_length_c 5.934
_cell_angle_alpha 90.00
_cell_angle_beta 110.04
_cell_angle_gamma 90.00
_space_group_name_H-M_alt 'C 1 m 1'
_space_group_IT_number 8
loop_
_space_group_symop_operation_xyz
'x,y,z'
'x,-y,z'
'x+1/2,y+1/2,z'
'x+1/2,-y+1/2,z'
loop_
_atom_site_label
_atom_site_fract_x
_atom_site_fract_y
_atom_site_fract_z
Tb1 0.000 0.000 0.000
Tb2 0.064 0.371 0.794
Tb3 0.151 0.129 0.603
Tb4 0.214 0.500 0.376
Tb5 0.364 0.212 0.192
Os1 0.357 0.000 0.052
Ru1 0.351 0.310 0.684
```

Its formation energy is -0.172 eV per atom. The value obtained for the offset from the most stable computed form is 0.62 eV per formula unit.

---

(2)
The following is a PBE calculation of a relaxed structure of HoTiPt2, from Alexandria.

```
data_HoTiPt2
_cell_length_a 4.4394
_cell_length_b 4.4394
_cell_length_c 13.8537
_cell_angle_alpha 90.00
_cell_angle_beta 90.00
_cell_angle_gamma 120.00
_space_group_name_H-M_alt 'R -3 m'
_space_group_IT_number 166
_space_group_name_Hall '-R 3 2"'
loop_
_atom_site_label
_atom_site_fract_x
_atom_site_fract_y
_atom_site_fract_z
Ho1 0.0000 0.0000 0.0000
Ti1 0.0000 0.0000 0.5000
Pt1 0.0000 0.0000 0.2146
```

Its formation energy is -1.012 eV per atom. The value obtained for the offset from the most stable computed form is 0.00 eV per formula unit.

---

(3)
The following is a PBE calculation of a relaxed structure of Ca4In3P2, from Alexandria.

```
data_Ca4In3P2
_cell_length_a 5.658
_cell_length_b 16.710
_cell_length_c 5.307
_cell_angle_alpha 90.00
_cell_angle_beta 90.00
_cell_angle_gamma 90.00
_space_group_name_H-M_alt 'P n n m'
_space_group_IT_number 58
loop_
_space_group_symop_operation_xyz
'x,y,z'
'-x,-y,-z'
'-x,-y,z'
'x,y,-z'
'x+1/2,-y+1/2,-z+1/2'
'-x+1/2,y+1/2,z+1/2'
'-x+1/2,y+1/2,-z+1/2'
'x+1/2,-y+1/2,z+1/2'
loop_
_atom_site_label
_atom_site_fract_x
_atom_site_fract_y
_atom_site_fract_z
Ca1 0.190 0.148 0.000
Ca2 0.239 0.402 0.000
In1 0.000 0.500 0.500
In2 0.201 0.253 0.500
P1 0.240 0.085 0.500
```

Its formation energy is -0.531 eV per atom.

---

(4)
The following is a PBE calculation of a relaxed structure of BaVRe3, from Alexandria.

```
data_BaVRe3
_cell_length_a 4.938
_cell_length_b 4.938
_cell_length_c 4.938
_cell_angle_alpha 90.00
_cell_angle_beta 90.00
_cell_angle_gamma 90.00
_space_group_name_H-M_alt 'P m -3 m'
_space_group_IT_number 221
_space_group_name_Hall '-P 4 2 3'
loop_
_atom_site_label
_atom_site_fract_x
_atom_site_fract_y
_atom_site_fract_z
Ba1 0.000 0.000 0.000
V1 0.500 0.500 0.500
Re1 0.000 0.000 0.500
```

Its formation energy is 3.907 eV per atom. The value obtained for the offset from the most stable computed form is 11.96 eV per formula unit.

---

(5)
The following is a PBE calculation of a relaxed structure of CaPdI6, from Alexandria.

```
data_CaPdI6
_cell_length_a 7.1651
_cell_length_b 7.1651
_cell_length_c 20.2567
_cell_angle_alpha 90.00
_cell_angle_beta 90.00
_cell_angle_gamma 120.00
_space_group_name_H-M_alt 'R -3'
_space_group_IT_number 148
_space_group_name_Hall '-R 3'
loop_
_atom_site_label
_atom_site_fract_x
_atom_site_fract_y
_atom_site_fract_z
Ca1 0.0000 0.0000 0.0000
Pd1 0.0000 0.0000 0.5000
I1 0.0069 0.6350 0.0889
```

The calculation puts the final energy at -2.598 eV/atom.

---

(6)
The following is a PBE calculation of a relaxed structure of K3Na2Br3Cl2, from Alexandria.

```
data_K3Na2Br3Cl2
_cell_length_a 4.884
_cell_length_b 4.884
_cell_length_c 29.856
_cell_angle_alpha 90.00
_cell_angle_beta 90.00
_cell_angle_gamma 90.00
_space_group_name_H-M_alt 'I 4/m m m'
_space_group_IT_number 139
_space_group_name_Hall '-I 4 2'
loop_
_atom_site_label
_atom_site_fract_x
_atom_site_fract_y
_atom_site_fract_z
K1 0.000 0.000 0.000
K2 0.000 0.000 0.391
Na1 0.000 0.500 0.250
Br1 0.000 0.000 0.113
Br2 0.000 0.000 0.500
Cl1 0.000 0.000 0.285
```

The calculation puts the final energy at -3.169 eV/atom.

---

(7)
The following is a PBE calculation of a relaxed structure of NiAgMo3, from Alexandria.

```
data_NiAgMo3
_cell_length_a 4.757
_cell_length_b 4.757
_cell_length_c 4.757
_cell_angle_alpha 90.00
_cell_angle_beta 90.00
_cell_angle_gamma 90.00
_space_group_name_H-M_alt 'P m -3 m'
_space_group_IT_number 221
_space_group_name_Hall '-P 4 2 3'
loop_
_atom_site_label
_atom_site_fract_x
_atom_site_fract_y
_atom_site_fract_z
Ni1 0.000 0.000 0.000
Ag1 0.500 0.500 0.500
Mo1 0.000 0.500 0.500
```

Its formation energy is 2.742 eV per atom. The value obtained for the offset from the most stable computed form is 6.86 eV per formula unit.

---

(8)
The following is a PBE calculation of a relaxed structure of Ba2AcNd, from Alexandria.

```
data_Ba2AcNd
_cell_length_a 3.9366
_cell_length_b 3.9366
_cell_length_c 42.8031
_cell_angle_alpha 90.00
_cell_angle_beta 90.00
_cell_angle_gamma 120.00
_space_group_name_H-M_alt 'R -3 m'
_space_group_IT_number 166
_space_group_name_Hall '-R 3 2"'
loop_
_atom_site_label
_atom_site_fract_x
_atom_site_fract_y
_atom_site_fract_z
Ba1 0.0000 0.0000 0.0854
Ac1 0.0000 0.0000 0.5000
Nd1 0.0000 0.0000 0.0000
```

Its formation energy is 0.293 eV per atom.

---

(9)
The following is a PBE calculation of a relaxed structure of YHg3, from Alexandria.

```
data_YHg3
_cell_length_a 5.879
_cell_length_b 5.879
_cell_length_c 5.879
_cell_angle_alpha 90.00
_cell_angle_beta 90.00
_cell_angle_gamma 90.00
_space_group_name_H-M_alt 'P m -3 n'
_space_group_IT_number 223
_space_group_name_Hall '-P 4n 2 3'
loop_
_atom_site_label
_atom_site_fract_x
_atom_site_fract_y
_atom_site_fract_z
Y1 0.000 0.000 0.000
Hg1 0.000 0.250 0.500
```

Its formation energy is -0.243 eV per atom.

---

(10)
The following is a PBE calculation of a relaxed structure of SrLi2Si, from Alexandria.

```
data_SrLi2Si
_cell_length_a 6.235
_cell_length_b 10.564
_cell_length_c 3.694
_cell_angle_alpha 90.00
_cell_angle_beta 124.11
_cell_angle_gamma 90.00
_space_group_name_H-M_alt 'C 1 2/m 1'
_space_group_IT_number 12
loop_
_space_group_symop_operation_xyz
'x,y,z'
'-x,-y,-z'
'-x,y,-z'
'x,-y,z'
'x+1/2,y+1/2,z'
'-x+1/2,-y+1/2,-z'
'-x+1/2,y+1/2,-z'
'x+1/2,-y+1/2,z'
loop_
_atom_site_label
_atom_site_fract_x
_atom_site_fract_y
_atom_site_fract_z
Sr1 0.000 0.000 0.000
Li1 0.250 0.250 0.500
Si1 0.000 0.500 0.000
```

The calculation puts the final energy at -2.626 eV/atom.

---

(11)
The following is a PBE calculation of a relaxed structure of AcGe2Sb2Pt7, from Alexandria.

```
data_AcGe2Sb2Pt7
_cell_length_a 5.709
_cell_length_b 5.708
_cell_length_c 16.008
_cell_angle_alpha 90.00
_cell_angle_beta 100.22
_cell_angle_gamma 90.00
_space_group_name_H-M_alt 'C 1 2/m 1'
_space_group_IT_number 12
loop_
_space_group_symop_operation_xyz
'x,y,z'
'-x,-y,-z'
'-x,y,-z'
'x,-y,z'
'x+1/2,y+1/2,z'
'-x+1/2,-y+1/2,-z'
'-x+1/2,y+1/2,-z'
'x+1/2,-y+1/2,z'
loop_
_atom_site_label
_atom_site_fract_x
_atom_site_fract_y
_atom_site_fract_z
Ac1 0.000 0.000 0.000
Ge1 0.121 0.500 0.247
Sb1 0.212 0.000 0.426
Pt1 0.000 0.500 0.000
Pt2 0.175 0.250 0.846
Pt3 0.201 0.500 0.404
```

The calculation puts the final energy at -5.806 eV/atom.

---

(12)
The following is a PBE calculation of a relaxed structure of Sm6BiSb3Se2, from Alexandria.

```
data_Sm6BiSb3Se2
_cell_length_a 19.127
_cell_length_b 4.406
_cell_length_c 8.784
_cell_angle_alpha 90.00
_cell_angle_beta 103.14
_cell_angle_gamma 90.00
_space_group_name_H-M_alt 'C 1 2/m 1'
_space_group_IT_number 12
loop_
_space_group_symop_operation_xyz
'x,y,z'
'-x,-y,-z'
'-x,y,-z'
'x,-y,z'
'x+1/2,y+1/2,z'
'-x+1/2,-y+1/2,-z'
'-x+1/2,y+1/2,-z'
'x+1/2,-y+1/2,z'
loop_
_atom_site_label
_atom_site_fract_x
_atom_site_fract_y
_atom_site_fract_z
Sm1 0.005 0.000 0.257
Sm2 0.169 0.500 0.579
Sm3 0.170 0.500 0.090
Bi1 0.000 0.500 0.000
Sb1 0.000 0.500 0.500
Sb2 0.164 0.000 0.831
Se1 0.169 0.000 0.336
```

The calculation puts the final energy at -5.640 eV/atom.

---

(13)
The following is a PBE calculation of a relaxed structure of La2TbCd, from Alexandria.

```
data_La2TbCd
_cell_length_a 3.793
_cell_length_b 3.793
_cell_length_c 9.119
_cell_angle_alpha 90.00
_cell_angle_beta 90.00
_cell_angle_gamma 90.00
_space_group_name_H-M_alt 'P 4/m m m'
_space_group_IT_number 123
_space_group_name_Hall '-P 4 2'
loop_
_atom_site_label
_atom_site_fract_x
_atom_site_fract_y
_atom_site_fract_z
La1 0.000 0.000 0.229
Tb1 0.500 0.500 0.500
Cd1 0.500 0.500 0.000
```

Its formation energy is -0.136 eV per atom. The value obtained for the offset from the most stable computed form is 0.08 eV per formula unit.

---

(14)
The following is a PBE calculation of a relaxed structure of Pt2SCl, from Alexandria.

```
data_Pt2SCl
_cell_length_a 6.120
_cell_length_b 6.120
_cell_length_c 8.978
_cell_angle_alpha 90.00
_cell_angle_beta 90.00
_cell_angle_gamma 90.00
_space_group_name_H-M_alt 'I -4 2 d'
_space_group_IT_number 122
_space_group_name_Hall 'I -4 2bw'
loop_
_atom_site_label
_atom_site_fract_x
_atom_site_fract_y
_atom_site_fract_z
Pt1 0.193 0.250 0.125
S1 0.000 0.000 0.000
Cl1 0.000 0.000 0.500
```

The value obtained for the offset from the most stable computed form is 0.00 eV per formula unit.

---

(15)
The following is a PBE calculation of a relaxed structure of LaTm2Th, from Alexandria.

```
data_LaTm2Th
_cell_length_a 3.611
_cell_length_b 3.611
_cell_length_c 9.908
_cell_angle_alpha 90.00
_cell_angle_beta 90.00
_cell_angle_gamma 90.00
_space_group_name_H-M_alt 'P 4/m m m'
_space_group_IT_number 123
_space_group_name_Hall '-P 4 2'
loop_
_atom_site_label
_atom_site_fract_x
_atom_site_fract_y
_atom_site_fract_z
La1 0.000 0.000 0.000
Tm1 0.500 0.500 0.261
Th1 0.000 0.000 0.500
```

Its formation energy is 0.011 eV per atom. The value obtained for the offset from the most stable computed form is 0.00 eV per formula unit.

---

(16)
The following is a PBE calculation of a relaxed structure of La5Pr2Th, from Alexandria.

```
data_La5Pr2Th
_cell_length_a 5.752
_cell_length_b 12.292
_cell_length_c 16.723
_cell_angle_alpha 90.00
_cell_angle_beta 90.00
_cell_angle_gamma 90.00
_space_group_name_H-M_alt 'C m c m'
_space_group_IT_number 63
_space_group_name_Hall '-C 2c 2'
loop_
_atom_site_label
_atom_site_fract_x
_atom_site_fract_y
_atom_site_fract_z
La1 0.000 0.038 0.250
La2 0.000 0.120 0.552
La3 0.000 0.422 0.596
Pr1 0.000 0.278 0.132
Th1 0.000 0.237 0.750
```

Its formation energy is 0.108 eV per atom. The value obtained for the offset from the most stable computed form is 0.47 eV per formula unit.

---

(17)
The following is a PBE calculation of a relaxed structure of BeSnW2, from Alexandria.

```
data_BeSnW2
_cell_length_a 3.794
_cell_length_b 3.794
_cell_length_c 19.257
_cell_angle_alpha 90.00
_cell_angle_beta 90.00
_cell_angle_gamma 90.00
_space_group_name_H-M_alt 'I -4 2 d'
_space_group_IT_number 122
_space_group_name_Hall 'I -4 2bw'
loop_
_atom_site_label
_atom_site_fract_x
_atom_site_fract_y
_atom_site_fract_z
Be1 0.000 0.000 0.000
Sn1 0.000 0.000 0.500
W1 0.225 0.250 0.125
```

Its formation energy is 0.798 eV per atom. The value obtained for the offset from the most stable computed form is 0.05 eV per formula unit.

---

(18)
The following is a PBE calculation of a relaxed structure of NdTe4, from Alexandria.

```
data_NdTe4
_cell_length_a 6.032
_cell_length_b 6.032
_cell_length_c 6.032
_cell_angle_alpha 90.00
_cell_angle_beta 90.00
_cell_angle_gamma 90.00
_space_group_name_H-M_alt 'P m -3 m'
_space_group_IT_number 221
_space_group_name_Hall '-P 4 2 3'
loop_
_atom_site_label
_atom_site_fract_x
_atom_site_fract_y
_atom_site_fract_z
Nd1 0.000 0.000 0.000
Te1 0.000 0.000 0.500
Te2 0.500 0.500 0.500
```

The calculation puts the final energy at -3.359 eV/atom.

---

(19)
The following is a PBE calculation of a relaxed structure of NaCoBTe2, from Alexandria.

```
data_NaCoBTe2
_cell_length_a 5.296
_cell_length_b 5.296
_cell_length_c 3.753
_cell_angle_alpha 90.00
_cell_angle_beta 90.00
_cell_angle_gamma 90.00
_space_group_name_H-M_alt 'P 4/m m m'
_space_group_IT_number 123
_space_group_name_Hall '-P 4 2'
loop_
_atom_site_label
_atom_site_fract_x
_atom_site_fract_y
_atom_site_fract_z
Na1 0.000 0.000 0.000
Co1 0.500 0.500 0.500
B1 0.500 0.500 0.000
Te1 0.000 0.500 0.500
```

The calculation puts the final energy at -4.072 eV/atom.

---

(20)
The following is a PBE calculation of a relaxed structure of La4SmY8, from Alexandria.

```
data_La4SmY8
_cell_length_a 11.1734
_cell_length_b 11.1734
_cell_length_c 13.6440
_cell_angle_alpha 90.00
_cell_angle_beta 90.00
_cell_angle_gamma 120.00
_space_group_name_H-M_alt 'R -3 m'
_space_group_IT_number 166
_space_group_name_Hall '-R 3 2"'
loop_
_atom_site_label
_atom_site_fract_x
_atom_site_fract_y
_atom_site_fract_z
La1 0.0000 0.0000 0.0000
La2 0.0000 0.5000 0.0000
Sm1 0.0000 0.0000 0.5000
Y1 0.0000 0.0000 0.2400
Y2 0.0129 0.5065 0.7462
```

Its formation energy is 0.537 eV per atom.